# 1
# KTlSi2, relaxed, DFT PBE
# - symmetry = Cmmm
# - energy above the most stable polymorph in this dataset (eV per atom) = 0.4863
# - calculated volume (A^3/atom) = 24.32
# - ΔE_f (raw) (eV per atom) = 0.60
# - Fermi-level density of states (states/eV per atom) = 0.448
# - size of the total moment (μB/f.u.) = 0.0
# - total energy (eV/f.u.) = -11.92
data_KTlSi2
_chemical_formula_sum 'K2 Tl2 Si4'
_cell_length_a 6.2063
_cell_length_b 10.6916
_cell_length_c 2.9322
_cell_angle_alpha 90.00
_cell_angle_beta 90.00
_cell_angle_gamma 90.00
_space_group_name_H-M_alt 'P 1'
_space_group_IT_number 1
loop_
_space_group_symop_operation_xyz
'x,y,z'
loop_
_atom_site_label
_atom_site_type_symbol
_atom_site_fract_x
_atom_site_fract_y
_atom_site_fract_z
K1 K 0.0000 0.0000 0.0000
K2 K 0.5000 0.5000 0.0000
Tl1 Tl 0.0000 0.5000 0.0000
Tl2 Tl 0.5000 0.0000 0.0000
Si1 Si 0.2500 0.2500 0.5000
Si2 Si 0.2500 0.7500 0.5000
Si3 Si 0.7500 0.2500 0.5000
Si4 Si 0.7500 0.7500 0.5000

---

# 2
# CsDy2AgBr8, relaxed, DFT PBE
# - symmetry = P-1
# - calculated volume (A^3/atom) = 41.32
# - ΔE_f (raw) (eV per atom) = -1.58
# - Fermi-level density of states (states/eV per atom) = 0.000
# - size of the total moment (μB/f.u.) = 0.0
# - total energy (eV/f.u.) = -45.21
data_CsDy2AgBr8
_chemical_formula_sum 'Cs1 Dy2 Ag1 Br8'
_cell_length_a 7.1159
_cell_length_b 8.5207
_cell_length_c 8.9988
_cell_angle_alpha 102.05
_cell_angle_beta 105.64
_cell_angle_gamma 101.01
_space_group_name_H-M_alt 'P 1'
_space_group_IT_number 1
loop_
_space_group_symop_operation_xyz
'x,y,z'
loop_
_atom_site_label
_atom_site_type_symbol
_atom_site_fract_x
_atom_site_fract_y
_atom_site_fract_z
Cs1 Cs 0.0000 0.0000 0.0000
Dy1 Dy 0.0391 0.7522 0.4948
Dy2 Dy 0.9609 0.2478 0.5052
Ag1 Ag 0.0000 0.5000 0.0000
Br1 Br 0.1875 0.3465 0.8451
Br2 Br 0.2117 0.4841 0.4112
Br3 Br 0.2287 0.0545 0.4384
Br4 Br 0.3214 0.8505 0.7851
Br5 Br 0.6786 0.1495 0.2149
Br6 Br 0.7713 0.9455 0.5616
Br7 Br 0.7883 0.5159 0.5888
Br8 Br 0.8125 0.6535 0.1549

---

# 3
# PaCoRuAu, relaxed, DFT PBE
# - formation energy from the elements (eV/atom) = -0.389
# - symmetry = Pmmm
# - energy above the most stable polymorph in this dataset (eV per atom) = 0.0000
# - calculated volume (A^3/atom) = 16.78
# - Fermi-level density of states (states/eV per atom) = 0.726
# - size of the total moment (μB/f.u.) = 0.5
# - total energy (eV/f.u.) = -30.71
data_PaCoRuAu
_chemical_formula_sum 'Pa1 Co1 Ru1 Au1'
_cell_length_a 3.7476
_cell_length_b 4.1423
_cell_length_c 4.3232
_cell_angle_alpha 90.00
_cell_angle_beta 90.00
_cell_angle_gamma 90.00
_space_group_name_H-M_alt 'P 1'
_space_group_IT_number 1
loop_
_space_group_symop_operation_xyz
'x,y,z'
loop_
_atom_site_label
_atom_site_type_symbol
_atom_site_fract_x
_atom_site_fract_y
_atom_site_fract_z
Pa1 Pa 0.0000 0.0000 0.0000
Co1 Co 0.5000 0.0000 0.5000
Ru1 Ru 0.5000 0.5000 0.0000
Au1 Au 0.0000 0.5000 0.5000

---

# 4
# LaTb2YSe4, relaxed, DFT PBE
# - symmetry = P2/m
# - calculated volume (A^3/atom) = 25.27
# - ΔE_f (raw) (eV per atom) = -1.82
# - Fermi-level density of states (states/eV per atom) = 0.640
# - size of the total moment (μB/f.u.) = 0.0
# - total energy (eV/f.u.) = -49.16
data_LaTb2YSe4
_chemical_formula_sum 'La1 Tb2 Y1 Se4'
_cell_length_a 7.1917
_cell_length_b 4.1003
_cell_length_c 7.2443
_cell_angle_alpha 90.00
_cell_angle_beta 108.87
_cell_angle_gamma 90.00
_space_group_name_H-M_alt 'P 1'
_space_group_IT_number 1
loop_
_space_group_symop_operation_xyz
'x,y,z'
loop_
_atom_site_label
_atom_site_type_symbol
_atom_site_fract_x
_atom_site_fract_y
_atom_site_fract_z
La1 La 0.0000 0.0000 0.0000
Tb1 Tb 0.5000 0.0000 0.5000
Tb2 Tb 0.5000 0.5000 0.0000
Y1 Y 0.0000 0.5000 0.5000
Se1 Se 0.2548 0.0000 0.7440
Se2 Se 0.2610 0.5000 0.2616
Se3 Se 0.7390 0.5000 0.7384
Se4 Se 0.7452 0.0000 0.2560

---

# 5
# Ba2YIn2Bi4, relaxed, DFT PBE
# - formation energy from the elements (eV/atom) = -0.592
# - symmetry = C2/m
# - calculated volume (A^3/atom) = 35.89
# - Fermi-level density of states (states/eV per atom) = 0.461
# - size of the total moment (μB/f.u.) = 0.0
# - total energy (eV/f.u.) = -36.63
data_Ba2YIn2Bi4
_chemical_formula_sum 'Ba2 Y1 In2 Bi4'
_cell_length_a 9.1690
_cell_length_b 9.1690
_cell_length_c 8.1695
_cell_angle_alpha 111.53
_cell_angle_beta 111.53
_cell_angle_gamma 30.57
_space_group_name_H-M_alt 'P 1'
_space_group_IT_number 1
loop_
_space_group_symop_operation_xyz
'x,y,z'
loop_
_atom_site_label
_atom_site_type_symbol
_atom_site_fract_x
_atom_site_fract_y
_atom_site_fract_z
Ba1 Ba 0.1308 0.1308 0.1106
Ba2 Ba 0.8692 0.8692 0.8894
Y1 Y 0.0000 0.0000 0.5000
In1 In 0.3368 0.3368 0.5261
In2 In 0.6632 0.6632 0.4739
Bi1 Bi 0.1968 0.1968 0.7184
Bi2 Bi 0.4836 0.4836 0.2267
Bi3 Bi 0.5164 0.5164 0.7733
Bi4 Bi 0.8032 0.8032 0.2816

---

# 6
# ZnGePS2, relaxed, DFT PBE
# - symmetry = P4/mmm
# - energy above the most stable polymorph in this dataset (eV per atom) = 0.0000
# - calculated volume (A^3/atom) = 20.39
# - ΔE_f (raw) (eV per atom) = 0.65
# - Fermi-level density of states (states/eV per atom) = 1.042
# - size of the total moment (μB/f.u.) = 0.4
# - total energy (eV/f.u.) = -16.32
data_ZnGePS2
_chemical_formula_sum 'Zn1 Ge1 P1 S2'
_cell_length_a 4.7346
_cell_length_b 4.7346
_cell_length_c 4.5475
_cell_angle_alpha 90.00
_cell_angle_beta 90.00
_cell_angle_gamma 90.00
_space_group_name_H-M_alt 'P 1'
_space_group_IT_number 1
loop_
_space_group_symop_operation_xyz
'x,y,z'
loop_
_atom_site_label
_atom_site_type_symbol
_atom_site_fract_x
_atom_site_fract_y
_atom_site_fract_z
Zn1 Zn 0.0000 0.0000 0.0000
Ge1 Ge 0.5000 0.5000 0.5000
P1 P 0.0000 0.0000 0.5000
S1 S 0.0000 0.5000 0.0000
S2 S 0.5000 0.0000 0.0000

---

# 7
# Cd3PdAu3, relaxed, DFT PBE
# - formation energy from the elements (eV/atom) = -0.126
# - symmetry = R-3
# - energy above the most stable polymorph in this dataset (eV per atom) = 0.0271
# - calculated volume (A^3/atom) = 21.06
# - Fermi-level density of states (states/eV per atom) = 0.260
# - size of the total moment (μB/f.u.) = 0.0
# - total energy (eV/f.u.) = -18.65
data_Cd3PdAu3
_chemical_formula_sum 'Cd6 Pd2 Au6'
_cell_length_a 7.3041
_cell_length_b 7.3041
_cell_length_c 7.3041
_cell_angle_alpha 63.16
_cell_angle_beta 63.16
_cell_angle_gamma 63.16
_space_group_name_H-M_alt 'P 1'
_space_group_IT_number 1
loop_
_space_group_symop_operation_xyz
'x,y,z'
loop_
_atom_site_label
_atom_site_type_symbol
_atom_site_fract_x
_atom_site_fract_y
_atom_site_fract_z
Cd1 Cd 0.0841 0.7744 0.5100
Cd2 Cd 0.2256 0.4900 0.9159
Cd3 Cd 0.4900 0.9159 0.2256
Cd4 Cd 0.5100 0.0841 0.7744
Cd5 Cd 0.7744 0.5100 0.0841
Cd6 Cd 0.9159 0.2256 0.4900
Pd1 Pd 0.1024 0.1024 0.1024
Pd2 Pd 0.8976 0.8976 0.8976
Au1 Au 0.0786 0.3543 0.6857
Au2 Au 0.3143 0.9214 0.6457
Au3 Au 0.3543 0.6857 0.0786
Au4 Au 0.6457 0.3143 0.9214
Au5 Au 0.6857 0.0786 0.3543
Au6 Au 0.9214 0.6457 0.3143

---

# 8
# Li2CeTmS4, relaxed, DFT PBE
# - symmetry = P2/m
# - calculated volume (A^3/atom) = 20.95
# - ΔE_f (raw) (eV per atom) = -1.78
# - Fermi-level density of states (states/eV per atom) = 0.763
# - size of the total moment (μB/f.u.) = 1.0
# - total energy (eV/f.u.) = -44.97
data_Li2CeTmS4
_chemical_formula_sum 'Li2 Ce1 Tm1 S4'
_cell_length_a 6.5798
_cell_length_b 3.9558
_cell_length_c 6.8634
_cell_angle_alpha 90.00
_cell_angle_beta 110.28
_cell_angle_gamma 90.00
_space_group_name_H-M_alt 'P 1'
_space_group_IT_number 1
loop_
_space_group_symop_operation_xyz
'x,y,z'
loop_
_atom_site_label
_atom_site_type_symbol
_atom_site_fract_x
_atom_site_fract_y
_atom_site_fract_z
Li1 Li 0.0000 0.0000 0.0000
Li2 Li 0.0000 0.5000 0.5000
Ce1 Ce 0.5000 0.0000 0.5000
Tm1 Tm 0.5000 0.5000 0.0000
S1 S 0.2453 0.5000 0.2379
S2 S 0.2502 0.0000 0.7595
S3 S 0.7498 0.0000 0.2405
S4 S 0.7547 0.5000 0.7621

---

# 9
# Cs2KAg, relaxed, DFT PBE
# - formation energy from the elements (eV/atom) = 0.018
# - symmetry = C2/m
# - energy above the most stable polymorph in this dataset (eV per atom) = 0.0000
# - calculated volume (A^3/atom) = 66.98
# - Fermi-level density of states (states/eV per atom) = 0.643
# - size of the total moment (μB/f.u.) = 0.0
# - total energy (eV/f.u.) = -5.58
data_Cs2KAg
_chemical_formula_sum 'Cs8 K4 Ag4'
_cell_length_a 17.4844
_cell_length_b 5.1410
_cell_length_c 11.9311
_cell_angle_alpha 90.00
_cell_angle_beta 92.13
_cell_angle_gamma 90.00
_space_group_name_H-M_alt 'P 1'
_space_group_IT_number 1
loop_
_space_group_symop_operation_xyz
'x,y,z'
loop_
_atom_site_label
_atom_site_type_symbol
_atom_site_fract_x
_atom_site_fract_y
_atom_site_fract_z
Cs1 Cs 0.0292 0.0000 0.3052
Cs2 Cs 0.2277 0.0000 0.6566
Cs3 Cs 0.2723 0.5000 0.3434
Cs4 Cs 0.4708 0.5000 0.6948
Cs5 Cs 0.5292 0.5000 0.3052
Cs6 Cs 0.7277 0.5000 0.6566
Cs7 Cs 0.7723 0.0000 0.3434
Cs8 Cs 0.9708 0.0000 0.6948
K1 K 0.1346 0.5000 0.9760
K2 K 0.3654 0.0000 0.0240
K3 K 0.6345 0.0000 0.9760
K4 K 0.8654 0.5000 0.0240
Ag1 Ag 0.0822 0.5000 0.5261
Ag2 Ag 0.4178 0.0000 0.4739
Ag3 Ag 0.5822 0.0000 0.5261
Ag4 Ag 0.9178 0.5000 0.4739

---

# 10
# TeSe4Br4, relaxed, DFT PBE
# - symmetry = P4_2/n
# - calculated volume (A^3/atom) = 39.03
# - ΔE_f (raw) (eV per atom) = 0.11
# - Fermi-level density of states (states/eV per atom) = 0.327
# - size of the total moment (μB/f.u.) = 0.0
# - total energy (eV/f.u.) = -22.81
data_TeSe4Br4
_chemical_formula_sum 'Te2 Se8 Br8'
_cell_length_a 9.2365
_cell_length_b 9.2365
_cell_length_c 8.2339
_cell_angle_alpha 90.00
_cell_angle_beta 90.00
_cell_angle_gamma 90.00
_space_group_name_H-M_alt 'P 1'
_space_group_IT_number 1
loop_
_space_group_symop_operation_xyz
'x,y,z'
loop_
_atom_site_label
_atom_site_type_symbol
_atom_site_fract_x
_atom_site_fract_y
_atom_site_fract_z
Te1 Te 0.2500 0.2500 0.2500
Te2 Te 0.7500 0.7500 0.7500
Se1 Se 0.0263 0.3644 0.0617
Se2 Se 0.1356 0.0263 0.4383
Se3 Se 0.3644 0.4737 0.4383
Se4 Se 0.4737 0.1356 0.0617
Se5 Se 0.5263 0.8644 0.9383
Se6 Se 0.6356 0.5263 0.5617
Se7 Se 0.8644 0.9737 0.5617
Se8 Se 0.9737 0.6356 0.9383
Br1 Br 0.0522 0.7965 0.1531
Br2 Br 0.2035 0.5522 0.6531
Br3 Br 0.2965 0.9478 0.6531
Br4 Br 0.4478 0.7035 0.1531
Br5 Br 0.5522 0.2965 0.8469
Br6 Br 0.7035 0.0522 0.3469
Br7 Br 0.7965 0.4478 0.3469
Br8 Br 0.9478 0.2035 0.8469

---

# 11
# Zr2Al3, relaxed, DFT PBE
# - formation energy from the elements (eV/atom) = -0.427
# - symmetry = Cmce
# - energy above the most stable polymorph in this dataset (eV per atom) = 0.0968
# - calculated volume (A^3/atom) = 19.23
# - Fermi-level density of states (states/eV per atom) = 0.565
# - size of the total moment (μB/f.u.) = 0.0
# - total energy (eV/f.u.) = -30.46
data_Zr2Al3
_chemical_formula_sum 'Zr4 Al6'
_cell_length_a 5.4558
_cell_length_b 5.4558
_cell_length_c 7.4453
_cell_angle_alpha 90.00
_cell_angle_beta 90.00
_cell_angle_gamma 119.78
_space_group_name_H-M_alt 'P 1'
_space_group_IT_number 1
loop_
_space_group_symop_operation_xyz
'x,y,z'
loop_
_atom_site_label
_atom_site_type_symbol
_atom_site_fract_x
_atom_site_fract_y
_atom_site_fract_z
Zr1 Zr 0.1539 0.8461 0.9021
Zr2 Zr 0.3461 0.6539 0.4021
Zr3 Zr 0.6539 0.3461 0.5979
Zr4 Zr 0.8461 0.1539 0.0979
Al1 Al 0.0000 0.0000 0.5000
Al2 Al 0.1411 0.3589 0.7500
Al3 Al 0.3589 0.1411 0.2500
Al4 Al 0.5000 0.5000 0.0000
Al5 Al 0.6411 0.8589 0.7500
Al6 Al 0.8589 0.6411 0.2500

---

# 12
# Sm2HoHf, relaxed, DFT PBE
# - formation energy from the elements (eV/atom) = 0.147
# - symmetry = R3m
# - energy above the most stable polymorph in this dataset (eV per atom) = 0.0000
# - calculated volume (A^3/atom) = 29.42
# - Fermi-level density of states (states/eV per atom) = 1.444
# - size of the total moment (μB/f.u.) = 0.0
# - total energy (eV/f.u.) = -23.38
data_Sm2HoHf
_chemical_formula_sum 'Sm6 Ho3 Hf3'
_cell_length_a 3.4656
_cell_length_b 3.4656
_cell_length_c 33.9432
_cell_angle_alpha 90.00
_cell_angle_beta 90.00
_cell_angle_gamma 120.00
_space_group_name_H-M_alt 'P 1'
_space_group_IT_number 1
loop_
_space_group_symop_operation_xyz
'x,y,z'
loop_
_atom_site_label
_atom_site_type_symbol
_atom_site_fract_x
_atom_site_fract_y
_atom_site_fract_z
Sm1 Sm 0.0000 0.0000 0.0000
Sm2 Sm 0.0000 0.0000 0.1766
Sm3 Sm 0.3333 0.6667 0.6667
Sm4 Sm 0.3333 0.6667 0.8433
Sm5 Sm 0.6667 0.3333 0.3333
Sm6 Sm 0.6667 0.3333 0.5100
Ho1 Ho 0.0000 0.0000 0.4210
Ho2 Ho 0.3333 0.6667 0.0877
Ho3 Ho 0.6667 0.3333 0.7544
Hf1 Hf 0.0000 0.0000 0.5884
Hf2 Hf 0.3333 0.6667 0.2551
Hf3 Hf 0.6667 0.3333 0.9218